[1]
# AgPdSO PBE optimized geometry
# * energy relative to the lowest polymorph listed for this composition: 269 meV/atom
# * calculated total energy: -4.18 eV per atom
data_AgPdSO
_cell_length_a 3.248
_cell_length_b 14.459
_cell_length_c 5.085
_cell_angle_alpha 90.00
_cell_angle_beta 90.00
_cell_angle_gamma 90.00
_symmetry_space_group_name_H-M 'C m c m'
_symmetry_Int_Tables_number 63
_symmetry_space_group_name_Hall '-C 2c 2'
loop_
_atom_site_label
_atom_site_fract_x
_atom_site_fract_y
_atom_site_fract_z
Ag1 0.000 0.137 0.250
Pd1 0.000 0.420 0.250
S1 0.000 0.191 0.750
O1 0.000 0.000 0.000

---

[2]
# TmPbNO PBE optimized geometry
# * energy relative to the lowest polymorph listed for this composition: 261 meV/atom
# * calculated total energy: -6.64 eV per atom
data_TmPbNO
_cell_length_a 4.428
_cell_length_b 4.428
_cell_length_c 7.979
_cell_angle_alpha 90.00
_cell_angle_beta 90.00
_cell_angle_gamma 90.00
_symmetry_space_group_name_H-M 'P 4/n m m'
_symmetry_Int_Tables_number 129
loop_
_symmetry_equiv_pos_as_xyz
'x,y,z'
'-x,-y,-z'
'-y+1/2,x,z'
'y+1/2,-x,-z'
'-x+1/2,-y+1/2,z'
'x+1/2,y+1/2,-z'
'y,-x+1/2,z'
'-y,x+1/2,-z'
'x+1/2,-y,-z'
'-x+1/2,y,z'
'-y,-x,-z'
'y,x,z'
'-x,y+1/2,-z'
'x,-y+1/2,z'
'y+1/2,x+1/2,-z'
'-y+1/2,-x+1/2,z'
loop_
_atom_site_label
_atom_site_fract_x
_atom_site_fract_y
_atom_site_fract_z
Tm1 0.250 0.250 0.086
Pb1 0.250 0.750 0.500
N1 0.250 0.250 0.352
O1 0.250 0.750 0.000

---

Which of these has the highest calculated total energy? AgPdSO

---

Look up the energy relative to the lowest polymorph listed for this composition of the first one. 269 meV/atom

---

Which value of energy relative to the lowest polymorph listed for this composition does entry 1 give? 269 meV/atom